# Sn2TeP2 (PBE, optimized geometry)
data_Sn2TeP2
_chemical_formula_sum 'Sn4 Te2 P4'
_cell_length_a 7.9164
_cell_length_b 7.9164
_cell_length_c 3.8995
_cell_angle_alpha 90.00
_cell_angle_beta 90.00
_cell_angle_gamma 90.00
_symmetry_space_group_name_H-M 'P 4/m b m'
_symmetry_Int_Tables_number 127
_symmetry_space_group_name_Hall '-P 4 2ab'
loop_
_atom_site_label
_atom_site_fract_x
_atom_site_fract_y
_atom_site_fract_z
Sn1 0.1427 0.3572 0.0000
Te1 0.0000 0.0000 0.5000
P1 0.1900 0.6900 0.5000
# **DFT total energy**: -4.142 eV per atom
# **Energy relative to the elements, uncorrected**: 0.251 eV per atom
# **Relative energy among the computed polymorphs**: 42.7 kJ/mol of formula units

---

# Sn2TeP (PBE, optimized geometry)
data_Sn2TeP
_chemical_formula_sum 'Sn8 Te4 P4'
_cell_length_a 7.4248
_cell_length_b 7.4248
_cell_length_c 8.9607
_cell_angle_alpha 90.00
_cell_angle_beta 90.00
_cell_angle_gamma 90.00
_symmetry_space_group_name_H-M 'I -4 2 d'
_symmetry_Int_Tables_number 122
_symmetry_space_group_name_Hall 'I -4 2bw'
loop_
_atom_site_label
_atom_site_fract_x
_atom_site_fract_y
_atom_site_fract_z
Sn1 0.2081 0.2500 0.1250
Te1 0.0000 0.0000 0.5000
P1 0.0000 0.0000 0.0000
# **DFT total energy**: -4.072 eV per atom
# **Energy relative to the elements, uncorrected**: 0.068 eV per atom
# **Relative energy among the computed polymorphs**: 60.8 kJ/mol of formula units

---

# Sn2TeP (PBE, optimized geometry)
data_Sn2TeP
_chemical_formula_sum 'Sn6 Te3 P3'
_cell_length_a 4.1966
_cell_length_b 4.1966
_cell_length_c 20.9465
_cell_angle_alpha 90.00
_cell_angle_beta 90.00
_cell_angle_gamma 120.00
_symmetry_space_group_name_H-M 'R -3 m'
_symmetry_Int_Tables_number 166
_symmetry_space_group_name_Hall '-R 3 2"'
loop_
_atom_site_label
_atom_site_fract_x
_atom_site_fract_y
_atom_site_fract_z
Sn1 0.0000 0.0000 0.2377
Te1 0.0000 0.0000 0.0000
P1 0.0000 0.0000 0.5000
# **DFT total energy**: -4.229 eV per atom
# **Energy relative to the elements, uncorrected**: -0.090 eV per atom
# **Relative energy among the computed polymorphs**: 0.0 kJ/mol of formula units

---

# SnTeP2 (PBE, optimized geometry)
data_SnTeP2
_chemical_formula_sum 'Sn4 Te4 P8'
_cell_length_a 6.9465
_cell_length_b 6.9465
_cell_length_c 6.9465
_cell_angle_alpha 90.00
_cell_angle_beta 90.00
_cell_angle_gamma 90.00
_symmetry_space_group_name_H-M 'F m -3 m'
_symmetry_Int_Tables_number 225
_symmetry_space_group_name_Hall '-F 4 2 3'
loop_
_atom_site_label
_atom_site_fract_x
_atom_site_fract_y
_atom_site_fract_z
Sn1 0.0000 0.0000 0.0000
Te1 0.0000 0.0000 0.5000
P1 0.2500 0.2500 0.2500
# **DFT total energy**: -3.948 eV per atom
# **Energy relative to the elements, uncorrected**: 0.543 eV per atom
# **Relative energy among the computed polymorphs**: 74.9 kJ/mol of formula units

---

Which formula does entry 4 have?
SnTeP2

---

What is the formula in the second record?
Sn2TeP

---

What is the energy relative to the elements, uncorrected in the second record?
0.068 eV per atom

---

Which value of energy relative to the elements, uncorrected does entry 1 give?
0.251 eV per atom